[1]
VASP calculation (GGA-PBE) on an optimized crystal structure of KGaPbAu.

abc: 4.4977 4.4977 12.9089
angles: 90.00 90.00 90.00
Space group P4/nmm (No. 129, origin choice 2)
Inequivalent atoms, fractional coordinates:
1 K 0.2500 0.2500 0.2389 [2 per cell]
2 Ga 0.2500 0.7500 0.0000 [2 per cell]
3 Pb 0.2500 0.7500 0.5000 [2 per cell]
4 Au 0.2500 0.2500 0.8951 [2 per cell]

Results
DOS at the Fermi energy (states/eV per atom): 0.7044
Calculated total energy (eV/cell): -23.251

=====

[2]
VASP calculation (GGA-PBE) on an optimized crystal structure of K2Ga4PbAu3.

abc: 4.7609 4.7609 10.8305
angles: 90.00 90.00 90.00
Space group P-4m2 (No. 115)
Inequivalent atoms, fractional coordinates:
1 K 0.0000 0.5000 0.2434 [2 per cell]
2 Ga 0.0000 0.0000 0.0000 [1 per cell]
3 Ga 0.0000 0.5000 0.6472 [2 per cell]
4 Ga 0.5000 0.5000 0.0000 [1 per cell]
5 Pb 0.0000 0.0000 0.5000 [1 per cell]
6 Au 0.0000 0.5000 0.8875 [2 per cell]
7 Au 0.5000 0.5000 0.5000 [1 per cell]

Results
DOS at the Fermi energy (states/eV per atom): 0.4360
Calculated total energy (eV/cell): -30.313

=====

[3]
VASP calculation (GGA-PBE) on an optimized crystal structure of KGa2Pb2Au2.

abc: 4.5089 4.5089 32.4162
angles: 90.00 90.00 120.00
Space group R-3m (No. 166, hexagonal axes)
Inequivalent atoms, fractional coordinates:
1 K 0.0000 0.0000 0.0000 [3 per cell]
2 Ga 0.0000 0.0000 0.2586 [6 per cell]
3 Pb 0.0000 0.0000 0.1335 [6 per cell]
4 Au 0.0000 0.0000 0.4147 [6 per cell]

Results
DOS at the Fermi energy (states/eV per atom): 0.5118
Calculated total energy (eV/cell): -66.833

=====

[4]
VASP calculation (GGA-PBE) on an optimized crystal structure of KGaPbAu3.

abc: 7.3335 12.9035 7.1841
angles: 90.00 95.10 90.00
Space group C2/c (No. 15)
Inequivalent atoms, fractional coordinates:
1 K 0.0000 0.2412 0.2500 [4 per cell]
2 Ga 0.0000 0.4861 0.7500 [4 per cell]
3 Pb 0.0000 0.0620 0.7500 [4 per cell]
4 Au 0.0000 0.2855 0.7500 [4 per cell]
5 Au 0.2247 0.4352 0.5133 [8 per cell]

Results
DOS at the Fermi energy (states/eV per atom): 0.3523
Calculated total energy (eV/cell): -74.618

=====

[5]
VASP calculation (GGA-PBE) on an optimized crystal structure of K2RbGaAu.

abc: 6.7410 6.7410 4.9281
angles: 90.00 90.00 90.00
Space group P4/mmm (No. 123)
Inequivalent atoms, fractional coordinates:
1 K 0.0000 0.5000 0.0000 [2 per cell]
2 Rb 0.0000 0.0000 0.5000 [1 per cell]
3 Ga 0.5000 0.5000 0.0000 [1 per cell]
4 Au 0.5000 0.5000 0.5000 [1 per cell]

Results
Energy above the lowest structure with this stoichiometry (meV/atom): 57
DOS at the Fermi energy (states/eV per atom): 0.6230

=====

[6]
VASP calculation (GGA-PBE) on an optimized crystal structure of KRbGaAu.

abc: 7.9582 4.5524 9.5923
angles: 90.00 105.98 90.00
Space group Cm (No. 8)
Inequivalent atoms, fractional coordinates:
1 K 0.0000 0.0000 0.0000 [2 per cell]
2 Rb 0.1755 0.0000 0.5268 [2 per cell]
3 Ga 0.2508 0.5000 0.2526 [2 per cell]
4 Au 0.4183 0.0000 0.2523 [2 per cell]

Results
DOS at the Fermi energy (states/eV per atom): 0.6048
Calculated total energy (eV/cell): -18.431

=====

Number 1: M_tot 0.00 Bohr magnetons per cell. Number 2: M_tot 0.00 Bohr magnetons per cell. Number 3: M_tot 0.00 Bohr magnetons per cell. Number 4: M_tot 0.00 Bohr magnetons per cell. Number 5: M_tot 0.00 Bohr magnetons per cell. Number 6: M_tot 0.00 Bohr magnetons per cell.